DFT (GGA-PBE) results for crystalline BeBOs at its relaxed geometry.

Density of states at the Fermi level = 0.27 states/eV/f.u.
Energy relative to the elements = -0.012 eV per atom
Size of the total moment = 0.00 μB per cell

Unit cell a=6.8912 b=6.8912 c=6.8912 alpha=154.72 beta=154.72 gamma=36.06
Last column: nearest neighbours and their distance in Å.
Positions (direct):
Be1 0.2500 0.7500 0.5000  4 B 2.10, 4 Be 2.13
Be2 0.7500 0.2500 0.5000  4 B 2.10, 4 Be 2.13
B1 0.1383 0.1383 0.0000  4 Be 2.10, 4 Os 2.18
B2 0.8617 0.8617 0.0000  4 Be 2.10, 4 Os 2.18
Os1 0.3956 0.3956 0.0000  4 B 2.18, 4 Be 2.43
Os2 0.6044 0.6044 0.0000  4 B 2.18, 4 Be 2.43

***

DFT (GGA-PBE) results for crystalline BeBOs at its relaxed geometry.

Density of states at the Fermi level = 0.61 states/eV/f.u.
Energy relative to the elements = -0.084 eV per atom
Size of the total moment = 0.00 μB per cell

Unit cell a=3.8125 b=3.9321 c=4.2124 alpha=68.23 beta=87.50 gamma=80.37
Last column: nearest neighbours and their distance in Å.
Positions (direct):
Be1 0.2438 0.4094 0.1371  2 Be 2.11-2.31, 2 B 2.17-2.24, 1 Os 2.34
Be2 0.7562 0.5906 0.8629  2 Be 2.11-2.31, 2 B 2.17-2.24, 1 Os 2.34
B1 0.3107 0.6646 0.5020  1 B 1.77
B2 0.6893 0.3354 0.4980  1 B 1.77
Os1 0.2284 0.0758 0.7265  4 B 2.13-2.22, 1 Be 2.34
Os2 0.7716 0.9242 0.2735  4 B 2.13-2.22, 1 Be 2.34

***

DFT (GGA-PBE) results for crystalline BeBOs at its relaxed geometry.

Density of states at the Fermi level = 0.88 states/eV/f.u.
Energy relative to the elements = -0.132 eV per atom
Size of the total moment = 0.00 μB per cell

Unit cell a=4.2614 b=4.2614 c=4.2614 alpha=40.61 beta=40.61 gamma=40.61
Last column: nearest neighbours and their distance in Å.
Positions (direct):
Be1 0.0000 0.0000 0.0000  3 B 1.95
B1 0.4141 0.4141 0.4141  3 Be 1.95, 3 Os 2.18
Os1 0.1966 0.1966 0.1966  3 B 2.18, 4 Be 2.30-2.34

***

DFT (GGA-PBE) results for crystalline BeBOs at its relaxed geometry.

Density of states at the Fermi level = 0.57 states/eV/f.u.
Energy relative to the elements = -0.161 eV per atom
Size of the total moment = 0.00 μB per cell

Unit cell a=6.4165 b=6.4165 c=3.1203 alpha=90.00 beta=90.00 gamma=153.55
Last column: nearest neighbours and their distance in Å.
Positions (direct):
Be1 0.0511 0.9489 0.7500  2 Be 2.02
Be2 0.9489 0.0511 0.2500  2 Be 2.02
B1 0.2532 0.7468 0.2500  4 B 2.14, 4 Os 2.22
B2 0.7468 0.2532 0.7500  4 B 2.14, 4 Os 2.22
Os1 0.3799 0.6201 0.7500  4 B 2.22, 4 Be 2.31
Os2 0.6201 0.3799 0.2500  4 B 2.22, 4 Be 2.31

***

DFT (GGA-PBE) results for crystalline BeB3Os at its relaxed geometry.

Density of states at the Fermi level = 1.94 states/eV/f.u.
Energy relative to the elements = 1.572 eV per atom
Size of the total moment = 0.00 μB per cell

Unit cell a=3.5232 b=3.5232 c=3.5232 alpha=90.00 beta=90.00 gamma=90.00
Last column: nearest neighbours and their distance in Å.
Positions (direct):
Be1 0.0000 0.0000 0.0000  6 B 1.76
B1 0.0000 0.0000 0.5000  2 Be 1.76
B2 0.0000 0.5000 0.0000  2 Be 1.76
B3 0.5000 0.0000 0.0000  2 Be 1.76
Os1 0.5000 0.5000 0.5000  12 B 2.49

***

DFT (GGA-PBE) results for crystalline Be2BOs at its relaxed geometry.

Density of states at the Fermi level = 1.07 states/eV/f.u.
Energy relative to the elements = -0.205 eV per atom
Size of the total moment = 0.00 μB per cell

Unit cell a=5.2296 b=5.2296 c=4.0960 alpha=100.61 beta=100.61 gamma=133.97
Last column: nearest neighbours and their distance in Å.
Positions (direct):
Be1 0.0943 0.2615 0.1082  2 B 2.00-2.04, 1 Be 2.07
Be2 0.2615 0.0943 0.6082  2 B 2.00-2.04, 1 Be 2.07
Be3 0.7385 0.9057 0.3918  2 B 2.00-2.04, 1 Be 2.07
Be4 0.9057 0.7385 0.8918  2 B 2.00-2.04, 1 Be 2.07
B1 0.2471 0.7529 0.2500  4 Be 2.00-2.04, 2 B 2.11
B2 0.7529 0.2471 0.7500  4 Be 2.00-2.04, 2 B 2.11
Os1 0.3499 0.6501 0.7500  4 B 2.25-2.27, 4 Be 2.41-2.47
Os2 0.6501 0.3499 0.2500  4 B 2.25-2.27, 4 Be 2.41-2.47

***

DFT (GGA-PBE) results for crystalline Be4BOs at its relaxed geometry.

Density of states at the Fermi level = 1.74 states/eV/f.u.
Energy relative to the elements = -0.016 eV per atom
Size of the total moment = 0.00 μB per cell

Unit cell a=6.4660 b=6.4660 c=6.4660 alpha=146.75 beta=134.41 gamma=57.59
Last column: nearest neighbours and their distance in Å.
Positions (direct):
Be1 0.1319 0.3827 0.7492  2 B 2.02
Be2 0.1605 0.1605 0.0000  2 B 2.07, 4 Be 2.29
Be3 0.3100 0.0000 0.3100  2 B 1.84, 1 Be 1.90
Be4 0.3666 0.6173 0.7492  2 B 2.02
Be5 0.6334 0.3827 0.2508  2 B 2.02
Be6 0.6900 0.0000 0.6900  2 B 1.84, 1 Be 1.90
Be7 0.8395 0.8395 0.0000  2 B 2.07, 4 Be 2.29
Be8 0.8681 0.6173 0.2508  2 B 2.02
B1 0.0000 0.2648 0.2648  1 B 1.74, 2 Be 1.84
B2 0.0000 0.7352 0.7352  1 B 1.74, 2 Be 1.84
Os1 0.3018 0.8018 0.5000  12 Be 2.42-2.54
Os2 0.6982 0.1982 0.5000  12 Be 2.42-2.54

***

DFT (GGA-PBE) results for crystalline BeBOs at its relaxed geometry.

Density of states at the Fermi level = 0.80 states/eV/f.u.
Energy relative to the elements = -0.141 eV per atom
Size of the total moment = 0.00 μB per cell

Unit cell a=4.7871 b=4.7871 c=5.5595 alpha=119.67 beta=119.67 gamma=34.71
Last column: nearest neighbours and their distance in Å.
Positions (direct):
Be1 0.1239 0.1239 0.3765  2 B 1.95-2.00
Be2 0.8761 0.8761 0.6235  2 B 1.95-2.00
B1 0.0877 0.0877 0.9892  1 B 1.67
B2 0.9123 0.9123 0.0108  1 B 1.67
Os1 0.3566 0.3566 0.2440  3 B 2.11-2.16
Os2 0.6434 0.6434 0.7560  3 B 2.11-2.16